Here is PrNd5Tl5 after structural relaxation from the Alexandria database. Energies are from PBE.

The crystal system is monoclinic. Its total magnetization is 0.019 μB/atom. Its raw total energy is -3.824 eV/atom.

The structure belongs to space group C2/m (No. 12); the cell edges are 16.7219, 6.1233 and 7.2187 Å and the angles 90.00°, 98.02° and 90.00°. The distinct sites, in fractional coordinates, are Pr at (0.0000, 0.0000, 0.0000), Nd at (0.0000, 0.0000, 0.5000), Nd at (0.1409, 0.5000, 0.4070), Nd at (0.1793, 0.5000, 0.9173), Tl at (0.0000, 0.5000, 0.0000), Tl at (0.1670, 0.0000, 0.2851) and Tl at (0.1743, 0.0000, 0.7317).